No. 1
Entry from the Alexandria database: KIn2RuN after structural relaxation (GGA-PBE).

a b c (Å): 5.679 4.129 5.679
angles (deg): 90.00 90.00 90.00
Each line ends with the local moment (μB).
Fractional positions:
K: 0.000 0.000 0.000  -0.01
In: 0.500 0.000 0.000  -0.02
In: 0.000 0.000 0.500  -0.03
N: 0.000 0.500 0.000  0.27
Ru: 0.500 0.500 0.500  2.19

Values from the calculation:
The calculation puts the uncorrected formation energy at 10.51 eV/f.u. As for the density of states at the Fermi level: 4.07 states/eV/cell.


No. 2
Entry from the Alexandria database: UAlGaAu after structural relaxation (GGA-PBE).

a b c (Å): 4.839 4.839 4.839
angles (deg): 60.00 60.00 60.00
Each line ends with the local moment (μB).
Fractional positions:
U: 0.750 0.750 0.750  2.36
Au: 0.500 0.500 0.500  0.01
Ga: 0.000 0.000 0.000  0.06
Al: 0.250 0.250 0.250  0.00

Values from the calculation:
As for the density of states at the Fermi level: 6.30 states/eV/cell.


| no. | electronic total energy (eV/atom) |
| --- | --- |
| 1 | -2.73 |
| 2 | -5.49 |